Record 1
DFT (PBE) results for a relaxed PaMnNiS4 crystal.

## Properties
formation energy without anion corrections = -0.87 eV per atom

Unit cell a=6.380 b=6.202 c=7.308 alpha=90.00 beta=111.60 gamma=90.00
Last column: magnetic moment on the atom in μB.
Fractional positions:
S: 0.475 0.750 0.648  -0.02
Mn: 0.685 0.750 0.991  4.03
S: 0.525 0.250 0.352  -0.02
Pa: 0.769 0.750 0.466  0.24
Ni: 0.229 0.750 0.350  -0.21
S: 0.041 0.006 0.757  -0.01
Mn: 0.315 0.250 0.009  4.03
S: 0.959 0.506 0.243  -0.01
S: 0.959 0.994 0.243  -0.01
S: 0.041 0.494 0.757  -0.01
S: 0.585 0.250 0.863  0.03
Pa: 0.231 0.250 0.534  0.24
S: 0.415 0.750 0.137  0.03
Ni: 0.771 0.250 0.650  -0.21

Record 2
DFT (PBE) results for a relaxed PaMnNiSb crystal.

## Properties
formation energy without anion corrections = -0.13 eV per atom

Unit cell a=4.655 b=4.655 c=4.655 alpha=60.00 beta=60.00 gamma=60.00
Last column: magnetic moment on the atom in μB.
Fractional positions:
Pa: 0.000 0.000 0.000  -0.01
Ni: 0.250 0.250 0.250  0.32
Mn: 0.750 0.750 0.750  2.44
Sb: 0.500 0.500 0.500  0.01